# 1
# PBE Ti6SnC, relaxed
# * formation enthalpy at 0 K: -0.33 eV per atom
data_Ti6SnC
_space_group_name_H-M_alt 'R -3 m'
_space_group_IT_number 166
_space_group_name_Hall '-R 3 2"'
_cell_length_a 8.1479
_cell_length_b 8.1479
_cell_length_c 6.9582
_cell_angle_alpha 90.00
_cell_angle_beta 90.00
_cell_angle_gamma 120.00
loop_
_atom_site_label
_atom_site_type_symbol
_atom_site_fract_x
_atom_site_fract_y
_atom_site_fract_z
_atom_site_occupancy
Ti1 Ti 0.0759 0.5379 0.3157 1
Sn1 Sn 0.0000 0.0000 0.0000 1
C1 C 0.0000 0.0000 0.5000 1

***

# 2
# PBE Ti8Sn2C3, relaxed
# * formation enthalpy at 0 K: -0.40 eV per atom
data_Ti8Sn2C3
_space_group_name_H-M_alt 'C 1 2/m 1'
_space_group_IT_number 12
_space_group_name_Hall '-C 2y'
_cell_length_a 14.048
_cell_length_b 6.126
_cell_length_c 5.398
_cell_angle_alpha 90.00
_cell_angle_beta 107.69
_cell_angle_gamma 90.00
loop_
_atom_site_label
_atom_site_type_symbol
_atom_site_fract_x
_atom_site_fract_y
_atom_site_fract_z
_atom_site_occupancy
Ti1 Ti 0.078 0.247 0.396 1
Ti2 Ti 0.083 0.500 0.900 1
Ti3 Ti 0.098 0.000 0.951 1
Sn1 Sn 0.248 0.500 0.360 1
C1 C 0.000 0.248 0.000 1
C2 C 0.000 0.500 0.500 1

***

# 3
# PBE Ti3SnC, relaxed
# * formation enthalpy at 0 K: -0.12 eV per atom
data_Ti3SnC
_space_group_name_H-M_alt 'I m m a'
_space_group_IT_number 74
_space_group_name_Hall '-I 2b 2'
_cell_length_a 5.737
_cell_length_b 7.095
_cell_length_c 8.059
_cell_angle_alpha 90.00
_cell_angle_beta 90.00
_cell_angle_gamma 90.00
loop_
_atom_site_label
_atom_site_type_symbol
_atom_site_fract_x
_atom_site_fract_y
_atom_site_fract_z
_atom_site_occupancy
Ti1 Ti 0.000 0.061 0.152 1
Ti2 Ti 0.250 0.250 0.750 1
Sn1 Sn 0.000 0.000 0.500 1
C1 C 0.000 0.250 0.947 1

***

# 4
# PBE Ti7SnC2, relaxed
# * formation enthalpy at 0 K: -0.22 eV per atom
data_Ti7SnC2
_space_group_name_H-M_alt 'C m m m'
_space_group_IT_number 65
_space_group_name_Hall '-C 2 2'
_cell_length_a 6.856
_cell_length_b 11.085
_cell_length_c 4.184
_cell_angle_alpha 90.00
_cell_angle_beta 90.00
_cell_angle_gamma 90.00
loop_
_atom_site_label
_atom_site_type_symbol
_atom_site_fract_x
_atom_site_fract_y
_atom_site_fract_z
_atom_site_occupancy
Ti1 Ti 0.000 0.000 0.000 1
Ti2 Ti 0.000 0.222 0.500 1
Ti3 Ti 0.202 0.364 0.000 1
Sn1 Sn 0.000 0.500 0.500 1
C1 C 0.000 0.204 0.000 1

***

# 5
# PBE Ti2SnC, relaxed
# * formation enthalpy at 0 K: -0.09 eV per atom
# * offset from the most stable computed form: 639.9 meV/atom
data_Ti2SnC
_space_group_name_H-M_alt 'I -4 2 d'
_space_group_IT_number 122
_space_group_name_Hall 'I -4 2bw'
_cell_length_a 6.482
_cell_length_b 6.482
_cell_length_c 6.238
_cell_angle_alpha 90.00
_cell_angle_beta 90.00
_cell_angle_gamma 90.00
loop_
_atom_site_label
_atom_site_type_symbol
_atom_site_fract_x
_atom_site_fract_y
_atom_site_fract_z
_atom_site_occupancy
Ti1 Ti 0.156 0.250 0.125 1
Sn1 Sn 0.000 0.000 0.500 1
C1 C 0.000 0.000 0.000 1

***

# 6
# PBE Ti2VSnC, relaxed
# * formation enthalpy at 0 K: -0.46 eV per atom
data_Ti2VSnC
_space_group_name_H-M_alt 'P 4/m m m'
_space_group_IT_number 123
_space_group_name_Hall '-P 4 2'
_cell_length_a 4.308
_cell_length_b 4.308
_cell_length_c 3.959
_cell_angle_alpha 90.00
_cell_angle_beta 90.00
_cell_angle_gamma 90.00
loop_
_atom_site_label
_atom_site_type_symbol
_atom_site_fract_x
_atom_site_fract_y
_atom_site_fract_z
_atom_site_occupancy
Ti1 Ti 0.000 0.500 0.000 1
V1 V 0.000 0.000 0.500 1
Sn1 Sn 0.500 0.500 0.500 1
C1 C 0.000 0.000 0.000 1

***

# 7
# PBE Y2TiSnC, relaxed
# * formation enthalpy at 0 K: -0.58 eV per atom
data_Y2TiSnC
_space_group_name_H-M_alt 'P 4/m m m'
_space_group_IT_number 123
_space_group_name_Hall '-P 4 2'
_cell_length_a 4.936
_cell_length_b 4.936
_cell_length_c 4.287
_cell_angle_alpha 90.00
_cell_angle_beta 90.00
_cell_angle_gamma 90.00
loop_
_atom_site_label
_atom_site_type_symbol
_atom_site_fract_x
_atom_site_fract_y
_atom_site_fract_z
_atom_site_occupancy
Y1 Y 0.000 0.500 0.000 1
Ti1 Ti 0.000 0.000 0.500 1
Sn1 Sn 0.500 0.500 0.500 1
C1 C 0.000 0.000 0.000 1

***

# 8
# PBE TiZnSn2C, relaxed
# * formation enthalpy at 0 K: 1.79 eV per atom
data_TiZnSn2C
_space_group_name_H-M_alt 'P 4/m m m'
_space_group_IT_number 123
_space_group_name_Hall '-P 4 2'
_cell_length_a 4.960
_cell_length_b 4.960
_cell_length_c 4.810
_cell_angle_alpha 90.00
_cell_angle_beta 90.00
_cell_angle_gamma 90.00
loop_
_atom_site_label
_atom_site_type_symbol
_atom_site_fract_x
_atom_site_fract_y
_atom_site_fract_z
_atom_site_occupancy
Ti1 Ti 0.000 0.000 0.000 1
Zn1 Zn 0.000 0.000 0.500 1
Sn1 Sn 0.000 0.500 0.500 1
C1 C 0.500 0.500 0.000 1

***

# 9
# PBE TlSn2C, relaxed
# * formation enthalpy at 0 K: 1.42 eV per atom
# * offset from the most stable computed form: 675.0 meV/atom
data_TlSn2C
_space_group_name_H-M_alt 'F m -3 m'
_space_group_IT_number 225
_space_group_name_Hall '-F 4 2 3'
_cell_length_a 7.148
_cell_length_b 7.148
_cell_length_c 7.148
_cell_angle_alpha 90.00
_cell_angle_beta 90.00
_cell_angle_gamma 90.00
loop_
_atom_site_label
_atom_site_type_symbol
_atom_site_fract_x
_atom_site_fract_y
_atom_site_fract_z
_atom_site_occupancy
Tl1 Tl 0.000 0.000 0.000 1
Sn1 Sn 0.250 0.250 0.250 1
C1 C 0.000 0.000 0.500 1

***

# 10
# PBE Tl2SnC, relaxed
# * formation enthalpy at 0 K: 1.08 eV per atom
# * offset from the most stable computed form: 0.0 meV/atom
data_Tl2SnC
_space_group_name_H-M_alt 'I -4 2 d'
_space_group_IT_number 122
_space_group_name_Hall 'I -4 2bw'
_cell_length_a 6.441
_cell_length_b 6.441
_cell_length_c 10.464
_cell_angle_alpha 90.00
_cell_angle_beta 90.00
_cell_angle_gamma 90.00
loop_
_atom_site_label
_atom_site_type_symbol
_atom_site_fract_x
_atom_site_fract_y
_atom_site_fract_z
_atom_site_occupancy
Tl1 Tl 0.149 0.250 0.125 1
Sn1 Sn 0.000 0.000 0.500 1
C1 C 0.000 0.000 0.000 1

***

# 11
# PBE TlSn2C, relaxed
# * formation enthalpy at 0 K: 0.74 eV per atom
# * offset from the most stable computed form: 0.0 meV/atom
data_TlSn2C
_space_group_name_H-M_alt 'I -4 2 d'
_space_group_IT_number 122
_space_group_name_Hall 'I -4 2bw'
_cell_length_a 6.124
_cell_length_b 6.124
_cell_length_c 10.974
_cell_angle_alpha 90.00
_cell_angle_beta 90.00
_cell_angle_gamma 90.00
loop_
_atom_site_label
_atom_site_type_symbol
_atom_site_fract_x
_atom_site_fract_y
_atom_site_fract_z
_atom_site_occupancy
Tl1 Tl 0.000 0.000 0.000 1
Sn1 Sn 0.157 0.250 0.625 1
C1 C 0.000 0.000 0.500 1

***

# 12
# PBE Tl2SnC, relaxed
# * formation enthalpy at 0 K: 1.45 eV per atom
# * offset from the most stable computed form: 373.7 meV/atom
data_Tl2SnC
_space_group_name_H-M_alt 'F m -3 m'
_space_group_IT_number 225
_space_group_name_Hall '-F 4 2 3'
_cell_length_a 7.243
_cell_length_b 7.243
_cell_length_c 7.243
_cell_angle_alpha 90.00
_cell_angle_beta 90.00
_cell_angle_gamma 90.00
loop_
_atom_site_label
_atom_site_type_symbol
_atom_site_fract_x
_atom_site_fract_y
_atom_site_fract_z
_atom_site_occupancy
Tl1 Tl 0.250 0.250 0.250 1
Sn1 Sn 0.000 0.000 0.000 1
C1 C 0.000 0.000 0.500 1

***

# 13
# PBE TlSnC3, relaxed
# * formation enthalpy at 0 K: 2.81 eV per atom
# * offset from the most stable computed form: 0.0 meV/atom
data_TlSnC3
_space_group_name_H-M_alt 'P m -3 m'
_space_group_IT_number 221
_space_group_name_Hall '-P 4 2 3'
_cell_length_a 4.403
_cell_length_b 4.403
_cell_length_c 4.403
_cell_angle_alpha 90.00
_cell_angle_beta 90.00
_cell_angle_gamma 90.00
loop_
_atom_site_label
_atom_site_type_symbol
_atom_site_fract_x
_atom_site_fract_y
_atom_site_fract_z
_atom_site_occupancy
Tl1 Tl 0.000 0.000 0.000 1
Sn1 Sn 0.500 0.500 0.500 1
C1 C 0.000 0.500 0.500 1

***

# 14
# PBE TlSnC3, relaxed
# * formation enthalpy at 0 K: 3.26 eV per atom
# * offset from the most stable computed form: 445.5 meV/atom
data_TlSnC3
_space_group_name_H-M_alt 'P m -3 m'
_space_group_IT_number 221
_space_group_name_Hall '-P 4 2 3'
_cell_length_a 4.485
_cell_length_b 4.485
_cell_length_c 4.485
_cell_angle_alpha 90.00
_cell_angle_beta 90.00
_cell_angle_gamma 90.00
loop_
_atom_site_label
_atom_site_type_symbol
_atom_site_fract_x
_atom_site_fract_y
_atom_site_fract_z
_atom_site_occupancy
Tl1 Tl 0.000 0.000 0.000 1
Sn1 Sn 0.500 0.500 0.500 1
C1 C 0.000 0.000 0.500 1

***

# 15
# PBE Tm4TlSnC, relaxed
# * formation enthalpy at 0 K: -0.50 eV per atom
data_Tm4TlSnC
_space_group_name_H-M_alt 'I 4 m m'
_space_group_IT_number 107
_space_group_name_Hall 'I 4 -2'
_cell_length_a 4.744
_cell_length_b 4.744
_cell_length_c 15.637
_cell_angle_alpha 90.00
_cell_angle_beta 90.00
_cell_angle_gamma 90.00
loop_
_atom_site_label
_atom_site_type_symbol
_atom_site_fract_x
_atom_site_fract_y
_atom_site_fract_z
_atom_site_occupancy
Tm1 Tm 0.000 0.000 0.000 1
Tm2 Tm 0.000 0.000 0.320 1
Tm3 Tm 0.000 0.500 0.160 1
Tl1 Tl 0.000 0.000 0.519 1
Sn1 Sn 0.000 0.000 0.798 1
C1 C 0.000 0.000 0.160 1

***

# 16
# PBE Y4TlSnC, relaxed
# * formation enthalpy at 0 K: -0.52 eV per atom
data_Y4TlSnC
_space_group_name_H-M_alt 'C m c m'
_space_group_IT_number 63
_space_group_name_Hall '-C 2c 2'
_cell_length_a 6.848
_cell_length_b 15.822
_cell_length_c 6.843
_cell_angle_alpha 90.00
_cell_angle_beta 90.00
_cell_angle_gamma 90.00
loop_
_atom_site_label
_atom_site_type_symbol
_atom_site_fract_x
_atom_site_fract_y
_atom_site_fract_z
_atom_site_occupancy
Y1 Y 0.000 0.089 0.250 1
Y2 Y 0.000 0.411 0.250 1
Y3 Y 0.250 0.250 0.000 1
Tl1 Tl 0.000 0.111 0.750 1
Sn1 Sn 0.000 0.388 0.750 1
C1 C 0.000 0.250 0.250 1

***

# 17
# PBE Tm8SnC4, relaxed
# * formation enthalpy at 0 K: -0.22 eV per atom
# * offset from the most stable computed form: 164.6 meV/atom
data_Tm8SnC4
_space_group_name_H-M_alt 'F -4 3 m'
_space_group_IT_number 216
_space_group_name_Hall 'F -4 2 3'
_cell_length_a 10.631
_cell_length_b 10.631
_cell_length_c 10.631
_cell_angle_alpha 90.00
_cell_angle_beta 90.00
_cell_angle_gamma 90.00
loop_
_atom_site_label
_atom_site_type_symbol
_atom_site_fract_x
_atom_site_fract_y
_atom_site_fract_z
_atom_site_occupancy
Tm1 Tm 0.101 0.101 0.399 1
Tm2 Tm 0.139 0.139 0.861 1
Sn1 Sn 0.250 0.250 0.250 1
C1 C 0.129 0.129 0.629 1

***

# 18
# PBE Tm2SnC, relaxed
# * formation enthalpy at 0 K: -0.59 eV per atom
data_Tm2SnC
_space_group_name_H-M_alt 'R -3 m'
_space_group_IT_number 166
_space_group_name_Hall '-R 3 2"'
_cell_length_a 3.5701
_cell_length_b 3.5701
_cell_length_c 23.3872
_cell_angle_alpha 90.00
_cell_angle_beta 90.00
_cell_angle_gamma 120.00
loop_
_atom_site_label
_atom_site_type_symbol
_atom_site_fract_x
_atom_site_fract_y
_atom_site_fract_z
_atom_site_occupancy
Tm1 Tm 0.0000 0.0000 0.2228 1
Sn1 Sn 0.0000 0.0000 0.0000 1
C1 C 0.0000 0.0000 0.5000 1

***

# 19
# PBE Tm8SnC4, relaxed
# * formation enthalpy at 0 K: -0.39 eV per atom
# * offset from the most stable computed form: 0.0 meV/atom
data_Tm8SnC4
_space_group_name_H-M_alt 'C 1 2/m 1'
_space_group_IT_number 12
_space_group_name_Hall '-C 2y'
_cell_length_a 17.111
_cell_length_b 3.578
_cell_length_c 11.713
_cell_angle_alpha 90.00
_cell_angle_beta 131.31
_cell_angle_gamma 90.00
loop_
_atom_site_label
_atom_site_type_symbol
_atom_site_fract_x
_atom_site_fract_y
_atom_site_fract_z
_atom_site_occupancy
Tm1 Tm 0.042 0.000 0.235 1
Tm2 Tm 0.133 0.500 0.090 1
Tm3 Tm 0.163 0.500 0.839 1
Tm4 Tm 0.202 0.500 0.566 1
Sn1 Sn 0.000 0.000 0.500 1
C1 C 0.148 0.000 0.962 1
C2 C 0.167 0.500 0.329 1

***

# 20
# PBE Tm3SnC, relaxed
# * formation enthalpy at 0 K: -0.66 eV per atom
data_Tm3SnC
_space_group_name_H-M_alt 'P m -3 m'
_space_group_IT_number 221
_space_group_name_Hall '-P 4 2 3'
_cell_length_a 4.807
_cell_length_b 4.807
_cell_length_c 4.807
_cell_angle_alpha 90.00
_cell_angle_beta 90.00
_cell_angle_gamma 90.00
loop_
_atom_site_label
_atom_site_type_symbol
_atom_site_fract_x
_atom_site_fract_y
_atom_site_fract_z
_atom_site_occupancy
Tm1 Tm 0.000 0.000 0.500 1
Sn1 Sn 0.500 0.500 0.500 1
C1 C 0.000 0.000 0.000 1